ZrBIrRu2 after structural relaxation. Source: Alexandria, functional GGA-PBE.

Total moment   0.000 μB per atom
Calculated volume   71 Å³ per cell
Space group   P4/mmm, No. 123
ΔE_f   -0.576 eV per atom

a = 4.1561 Å, b = 4.1561 Å, c = 4.1155 Å
α = 90.00°, β = 90.00°, γ = 90.00°
Last column: nearest neighbours and their distance in Å.
Fractional positions:
Ru  0.0000  0.5000  0.0000  2 B 2.08
Ru  0.5000  0.0000  0.0000  2 B 2.08
B  0.0000  0.0000  0.0000  2 Ir 2.06, 4 Ru 2.08
Ir  0.0000  0.0000  0.5000  2 B 2.06
Zr  0.5000  0.5000  0.5000  8 Ru 2.92, 4 Ir 2.94

***

ZrBIr2Ru after structural relaxation. Source: Alexandria, functional GGA-PBE.

Total moment   0.000 μB per atom
Calculated volume   72 Å³ per cell
Space group   P4/mmm, No. 123
ΔE_f   -0.598 eV per atom

a = 4.1464 Å, b = 4.1464 Å, c = 4.1855 Å
α = 90.00°, β = 90.00°, γ = 90.00°
Last column: nearest neighbours and their distance in Å.
Fractional positions:
Ru  0.0000  0.0000  0.5000  2 B 2.09
B  0.0000  0.0000  0.0000  4 Ir 2.07, 2 Ru 2.09
Ir  0.0000  0.5000  0.0000  2 B 2.07
Ir  0.5000  0.0000  0.0000  2 B 2.07
Zr  0.5000  0.5000  0.5000  4 Ru 2.93, 8 Ir 2.95

***

B3IrS after structural relaxation. Source: Alexandria, functional GGA-PBE.

Total moment   0.000 μB per atom
Calculated volume   71 Å³ per cell
Space group   Pm-3m, No. 221
E_form (uncorrected)   5.80 eV per formula unit
Distance to the lowest polymorph of the same formula   0 meV/atom

a = 4.1401 Å, b = 4.1401 Å, c = 4.1401 Å
α = 90.00°, β = 90.00°, γ = 90.00°
Last column: nearest neighbours and their distance in Å.
Fractional positions:
S  0.5000  0.5000  0.5000  12 B 2.93
Ir  0.0000  0.0000  0.0000  6 B 2.07
B  0.0000  0.5000  0.0000  2 Ir 2.07
B  0.0000  0.0000  0.5000  2 Ir 2.07
B  0.5000  0.0000  0.0000  2 Ir 2.07

***

> What is the total moment in the second record?

0.000 μB per atom

***

> Which value of total moment does entry 3 give?

0.000 μB per atom